First-principles (PBE with a Hubbard U) data for a geometry-optimized PmV2IO8 structure, as listed in Alexandria via LeMat-Bulk. Values from VASP.

```
&SYSTEM
  ibrav = 0, nat = 12, ntyp = 4
/
ATOMIC_SPECIES
Pm 145.00 Pm.upf
V 50.94 V.upf
I 126.90 I.upf
O 16.00 O.upf
CELL_PARAMETERS angstrom
5.690 1.459 -0.189
1.525 5.672 -0.194
-0.471 -0.457 6.946
ATOMIC_POSITIONS angstrom
Pm -0.236 -0.228 3.473
V 2.225 2.206 5.364
V 4.518 4.468 1.198
I 0.000 0.000 0.000
O 2.730 4.882 1.435
O 4.431 4.389 6.607
O 4.911 2.675 1.438
O 4.014 1.793 5.128
O 2.312 2.286 -0.044
O 1.832 3.999 5.125
O 5.453 5.393 2.295
O 1.290 1.281 4.268
```

Summary:
energy: -6.862 eV per atom
SG: C2/m
spin magnetization: 0.00 μB per formula unit
DOS at the Fermi energy: 0.00 states/eV/f.u.